A plane-wave DFT calculation with GGA-PBE was carried out for a relaxed Li2TePbSe crystal.

Lattice parameters (Å, degrees): 4.7770 4.7770 6.0478 90.00 90.00 90.00
Element x y z (fractional)
Li (0.5000, 0.0000, 0.0000)
Li (0.0000, 0.5000, 0.0000)
Te (0.5000, 0.5000, 0.5000)
Pb (0.0000, 0.0000, 0.5000)
Se (0.0000, 0.0000, 0.0000)

Computed properties:
**Uncorrected energy**: -3.581 eV per atom
**Raw formation energy**: -0.748 eV per atom


A plane-wave DFT calculation with GGA-PBE was carried out for a relaxed Li2TiPbSe crystal.

Lattice parameters (Å, degrees): 4.6071 4.9255 4.6071 90.00 90.00 90.00
Element x y z (fractional)
Li (0.5000, 0.0000, 0.0000)
Se (0.0000, 0.0000, 0.0000)
Li (0.0000, 0.0000, 0.5000)
Ti (0.0000, 0.5000, 0.0000)
Pb (0.5000, 0.5000, 0.5000)

Computed properties:
**Uncorrected energy**: -4.182 eV per atom
**Raw formation energy**: -0.398 eV per atom


A plane-wave DFT calculation with GGA-PBE was carried out for a relaxed LiTm2Pb3Se6 crystal.

Lattice parameters (Å, degrees): 7.1333 7.1333 7.7333 99.21 99.21 120.25
Element x y z (fractional)
Se (0.4049, 0.0721, 0.2116)
Tm (0.3360, 0.6640, 0.0000)
Se (0.9279, 0.5951, 0.7884)
Se (0.7386, 0.7386, 0.2215)
Li (0.0000, 0.0000, 0.0000)
Tm (0.6640, 0.3360, 0.0000)
Se (0.5951, 0.9279, 0.7884)
Se (0.2614, 0.2614, 0.7785)
Pb (0.8229, 0.1771, 0.5000)
Pb (0.1771, 0.8229, 0.5000)
Pb (0.5000, 0.5000, 0.5000)
Se (0.0721, 0.4049, 0.2116)

Computed properties:
**Uncorrected energy**: -4.655 eV per atom
**Raw formation energy**: -1.081 eV per atom


A plane-wave DFT calculation with GGA-PBE was carried out for a relaxed LiTmPb2Se4 crystal.

Lattice parameters (Å, degrees): 4.1937 7.3597 7.1951 71.45 90.00 90.00
Element x y z (fractional)
Tm (0.0000, 0.5000, 0.5000)
Se (0.5000, 0.7213, 0.2590)
Pb (0.0000, 0.0000, 0.0000)
Se (0.5000, 0.2787, 0.7410)
Se (0.0000, 0.7237, 0.7548)
Li (0.5000, 0.5000, 0.0000)
Se (0.0000, 0.2763, 0.2452)
Pb (0.5000, 0.0000, 0.5000)

Computed properties:
**Uncorrected energy**: -4.539 eV per atom
**Raw formation energy**: -1.071 eV per atom


> Which formula does entry 1 have?

Li2TePbSe


> Which value of raw formation energy does entry 4 give?

-1.071 eV per atom